A geometry-optimized PuPtRhAu structure. Source: Alexandria via LeMat-Bulk, functional GGA-PBE.

## Properties
Uncorrected energy (eV/cell): -33.053
Magnetic moment (μB per cell): 4.416
Volume (Å³ per cell): 73

Geometry as CIF:
```
data_PuPtRhAu
_cell_length_a 3.9356
_cell_length_b 4.1770
_cell_length_c 4.4169
_cell_angle_alpha 90.00
_cell_angle_beta 90.00
_cell_angle_gamma 90.00
_space_group_name_H-M_alt 'P m m m'
_space_group_IT_number 47
loop_
_space_group_symop_operation_xyz
'x,y,z'
'-x,-y,-z'
'-x,-y,z'
'x,y,-z'
'x,-y,-z'
'-x,y,z'
'-x,y,-z'
'x,-y,z'
loop_
_atom_site_label
_atom_site_type_symbol
_atom_site_fract_x
_atom_site_fract_y
_atom_site_fract_z
_atom_site_occupancy
Pu1 Pu 0.0000 0.0000 0.0000 1
Pt1 Pt 0.5000 0.0000 0.5000 1
Rh1 Rh 0.5000 0.5000 0.0000 1
Au1 Au 0.0000 0.5000 0.5000 1
```

***

A geometry-optimized Mn2ZnSe structure. Source: Alexandria via LeMat-Bulk, functional GGA-PBE.

## Properties
Magnetic moment (μB per cell): 21.228
E_form (uncorrected) (meV per atom): 135
Volume (Å³ per cell): 199

Geometry as CIF:
```
data_Mn2ZnSe
_cell_length_a 3.2421
_cell_length_b 3.2421
_cell_length_c 21.8179
_cell_angle_alpha 90.00
_cell_angle_beta 90.00
_cell_angle_gamma 120.00
_space_group_name_H-M_alt 'R -3 m'
_space_group_IT_number 166
_space_group_name_Hall '-R 3 2"'
loop_
_atom_site_label
_atom_site_type_symbol
_atom_site_fract_x
_atom_site_fract_y
_atom_site_fract_z
_atom_site_occupancy
Mn1 Mn 0.0000 0.0000 0.2476 1
Zn1 Zn 0.0000 0.0000 0.0000 1
Se1 Se 0.0000 0.0000 0.5000 1
```